*P*
Here is KCr2Au at its PBEsol-relaxed geometry from the Alexandria database. Energies are from SCAN.

The value obtained for the mass density is 7.988 Mg/m³.

The structure belongs to space group Immm (No. 71); the cell edges are 2.550, 5.027 and 11.030 Å and the angles 90.00°, 90.00° and 90.00°. The inequivalent atoms are K at (0.000, 0.000, 0.000), Cr at (0.000, 0.500, 0.216) and Au at (0.000, 0.000, 0.500).

*Q*
Here is KCr2Au at its PBEsol-relaxed geometry from the Alexandria database. Energies are from SCAN.

The value obtained for the mass density is 6.229 Mg/m³.

The structure belongs to space group P4/mmm (No. 123); the cell edges are 3.568, 3.568 and 7.120 Å and the angles 90.00°, 90.00° and 90.00°. The inequivalent atoms are K at (0.000, 0.000, 0.000), Cr at (0.500, 0.500, 0.375) and Au at (0.000, 0.000, 0.500).

Relative energies with respect to the most stable structure, expressed in meV/atom: *P* 373; *Q* 0.

*P*
Here is CrRuAu at its PBEsol-relaxed geometry from the Alexandria database. Energies are from SCAN.

The value obtained for the mass density is 10.889 Mg/m³.

The structure belongs to space group F-43m (No. 216); the cell edges are 5.977, 5.977 and 5.977 Å and the angles 90.00°, 90.00° and 90.00°. The inequivalent atoms are Cr at (0.000, 0.000, 0.000), Ru at (0.000, 0.000, 0.500) and Au at (0.250, 0.250, 0.250).

*Q*
Here is CrRuAu at its PBEsol-relaxed geometry from the Alexandria database. Energies are from SCAN.

The value obtained for the mass density is 13.829 Mg/m³.

The structure belongs to space group I4mm (No. 107); the cell edges are 2.754, 2.754 and 11.080 Å and the angles 90.00°, 90.00° and 90.00°. The inequivalent atoms are Cr at (0.000, 0.000, 0.000), Ru at (0.000, 0.000, 0.630) and Au at (0.000, 0.000, 0.322).

Relative energies with respect to the most stable structure, expressed in meV/atom: *P* 473; *Q* 0.

*P*
Here is CrSi2Au at its PBEsol-relaxed geometry from the Alexandria database. Energies are from SCAN.

The value obtained for the mass density is 9.300 Mg/m³.

The structure belongs to space group Fm-3m (No. 225); the cell edges are 6.018, 6.018 and 6.018 Å and the angles 90.00°, 90.00° and 90.00°. The inequivalent atoms are Cr at (0.000, 0.000, 0.000), Si at (0.250, 0.250, 0.250) and Au at (0.000, 0.000, 0.500).

*Q*
Here is CrSi2Au at its PBEsol-relaxed geometry from the Alexandria database. Energies are from SCAN.

The value obtained for the mass density is 9.330 Mg/m³.

The structure belongs to space group I4/mmm (No. 139); the cell edges are 3.808, 3.808 and 7.491 Å and the angles 90.00°, 90.00° and 90.00°. The inequivalent atoms are Cr at (0.000, 0.000, 0.000), Si at (0.000, 0.500, 0.250) and Au at (0.000, 0.000, 0.500).

*R*
Here is CrSi2Au at its PBEsol-relaxed geometry from the Alexandria database. Energies are from SCAN.

The value obtained for the mass density is 9.247 Mg/m³.

The structure belongs to space group I-4m2 (No. 119); the cell edges are 3.607, 3.607 and 8.422 Å and the angles 90.00°, 90.00° and 90.00°. The inequivalent atoms are Cr at (0.000, 0.000, 0.000), Si at (0.000, 0.000, 0.500), Si at (0.000, 0.500, 0.250) and Au at (0.000, 0.500, 0.750).

Relative energies with respect to the most stable structure, expressed in meV/atom: *P* 297; *Q* 122; *R* 0.

*P*
Here is Ta2CrAu at its PBEsol-relaxed geometry from the Alexandria database. Energies are from SCAN.

The value obtained for the mass density is 15.847 Mg/m³.

The structure belongs to space group Pm (No. 6); the cell edges are 2.840, 4.502 and 5.047 Å and the angles 90.00°, 97.31° and 90.00°. The inequivalent atoms are Ta at (0.000, 0.000, 0.000), Ta at (0.233, 0.500, 0.678), Cr at (0.600, 0.000, 0.533) and Au at (0.600, 0.500, 0.203).

*Q*
Here is Ta2CrAu at its PBEsol-relaxed geometry from the Alexandria database. Energies are from SCAN.

The value obtained for the mass density is 15.855 Mg/m³.

The structure belongs to space group I-4m2 (No. 119); the cell edges are 3.936, 3.936 and 8.258 Å and the angles 90.00°, 90.00° and 90.00°. The inequivalent atoms are Ta at (0.000, 0.000, 0.000), Ta at (0.000, 0.500, 0.250), Cr at (0.000, 0.500, 0.750) and Au at (0.000, 0.000, 0.500).

Relative energies with respect to the most stable structure, expressed in meV/atom: *P* 34; *Q* 0.